1.
Here is a relaxed La2BeCu crystal from the Alexandria database. Energies are from PBE.

a b c (Å): 3.6662 3.6662 7.0899
angles (deg): 90.00 90.00 90.00
With the nearest neighbours (Å) after each atom.
Positions (direct):
La1 0.0000 0.0000 0.2391  4 Be 3.10, 4 Cu 3.18, 1 La 3.39
La2 0.0000 0.0000 0.7609  4 Be 3.10, 4 Cu 3.18, 1 La 3.39
Be1 0.5000 0.5000 0.0000  8 La 3.10
Cu1 0.5000 0.5000 0.5000  8 La 3.18, 2 Be 3.54

- Calculated volume: 95.3 Å³ per cell
- Distance to the lowest polymorph of the same formula: 0.0247 eV/atom
- Total moment: 0.00 μB per formula unit
- Energy: -4.373 eV/atom

=====

2.
Here is a relaxed IrOsAu2 crystal from the Alexandria database. Energies are from PBE.

a b c (Å): 5.7019 5.7019 5.7019
angles (deg): 151.71 130.12 58.33
With the nearest neighbours (Å) after each atom.
Positions (direct):
Ir1 0.0000 0.0000 0.0000  2 Os 2.53, 2 Ir 2.79, 4 Au 2.80
Os1 0.2120 0.7120 0.5000  2 Ir 2.53, 2 Os 2.79, 4 Au 2.80
Au1 0.4682 0.4682 0.0000  4 Au 2.79-3.08, 4 Ir 2.80, 2 Os 2.91
Au2 0.7436 0.2436 0.5000  4 Au 2.79-3.08, 4 Os 2.80, 2 Ir 2.91

- Calculated volume: 66.7 Å³ per cell
- Distance to the lowest polymorph of the same formula: 0.3284 eV/atom
- Total moment: 0.00 μB per formula unit
- Energy: -6.097 eV/atom

=====

3.
Here is a relaxed SrOs2Br crystal from the Alexandria database. Energies are from PBE.

a b c (Å): 9.0890 9.0890 9.0890
angles (deg): 148.19 148.19 45.60
With the nearest neighbours (Å) after each atom.
Positions (direct):
Sr1 0.0000 0.0000 0.0000  8 Os 3.43-3.54, 4 Br 3.52
Sr2 0.7500 0.2500 0.5000  8 Os 3.43-3.54, 4 Br 3.52
Os1 0.3600 0.6250 0.2350  2 Br 2.44, 2 Os 2.50
Os2 0.3750 0.6100 0.7350  2 Br 2.44, 2 Os 2.50
Os3 0.3900 0.1250 0.7650  2 Br 2.44, 2 Os 2.50
Os4 0.8750 0.6400 0.2650  2 Br 2.44, 2 Os 2.50
Br1 0.2500 0.7500 0.5000  4 Os 2.44
Br2 0.5000 0.5000 0.0000  4 Os 2.44

- Calculated volume: 207.9 Å³ per cell
- Distance to the lowest polymorph of the same formula: 0.8414 eV/atom
- ΔE_f (raw): 0.917 eV/atom
- Total moment: 0.00 μB per formula unit
- Energy: -5.537 eV/atom

=====

Please write out number 3 again, unchanged.
Here is a relaxed SrOs2Br crystal from the Alexandria database. Energies are from PBE.

a b c (Å): 9.0890 9.0890 9.0890
angles (deg): 148.19 148.19 45.60
With the nearest neighbours (Å) after each atom.
Positions (direct):
Sr1 0.0000 0.0000 0.0000  8 Os 3.43-3.54, 4 Br 3.52
Sr2 0.7500 0.2500 0.5000  8 Os 3.43-3.54, 4 Br 3.52
Os1 0.3600 0.6250 0.2350  2 Br 2.44, 2 Os 2.50
Os2 0.3750 0.6100 0.7350  2 Br 2.44, 2 Os 2.50
Os3 0.3900 0.1250 0.7650  2 Br 2.44, 2 Os 2.50
Os4 0.8750 0.6400 0.2650  2 Br 2.44, 2 Os 2.50
Br1 0.2500 0.7500 0.5000  4 Os 2.44
Br2 0.5000 0.5000 0.0000  4 Os 2.44

- Calculated volume: 207.9 Å³ per cell
- Distance to the lowest polymorph of the same formula: 0.8414 eV/atom
- ΔE_f (raw): 0.917 eV/atom
- Total moment: 0.00 μB per formula unit
- Energy: -5.537 eV/atom

=====

> What is the distance to the lowest polymorph of the same formula in the first record?

0.0247 eV/atom

=====

Repeat the third record exactly.
Here is a relaxed SrOs2Br crystal from the Alexandria database. Energies are from PBE.

a b c (Å): 9.0890 9.0890 9.0890
angles (deg): 148.19 148.19 45.60
With the nearest neighbours (Å) after each atom.
Positions (direct):
Sr1 0.0000 0.0000 0.0000  8 Os 3.43-3.54, 4 Br 3.52
Sr2 0.7500 0.2500 0.5000  8 Os 3.43-3.54, 4 Br 3.52
Os1 0.3600 0.6250 0.2350  2 Br 2.44, 2 Os 2.50
Os2 0.3750 0.6100 0.7350  2 Br 2.44, 2 Os 2.50
Os3 0.3900 0.1250 0.7650  2 Br 2.44, 2 Os 2.50
Os4 0.8750 0.6400 0.2650  2 Br 2.44, 2 Os 2.50
Br1 0.2500 0.7500 0.5000  4 Os 2.44
Br2 0.5000 0.5000 0.0000  4 Os 2.44

- Calculated volume: 207.9 Å³ per cell
- Distance to the lowest polymorph of the same formula: 0.8414 eV/atom
- ΔE_f (raw): 0.917 eV/atom
- Total moment: 0.00 μB per formula unit
- Energy: -5.537 eV/atom

=====

> Which value of energy does entry 3 give?

-5.537 eV/atom